1.
Compound: Dy2TaS4
Source: Alexandria
Functional: PBE
Structure: relaxed

Summary:
Calculated volume (Å³/atom): 22.09
Crystal system: monoclinic
Energy relative to the elements, uncorrected (meV/atom): -1505.8

CIF file:
```
data_Dy2TaS4
_cell_length_a 13.482
_cell_length_b 3.796
_cell_length_c 6.967
_cell_angle_alpha 90.00
_cell_angle_beta 119.85
_cell_angle_gamma 90.00
_symmetry_space_group_name_H-M 'C 1 2/m 1'
_symmetry_Int_Tables_number 12
loop_
_symmetry_equiv_pos_as_xyz
'x,y,z'
'-x,-y,-z'
'-x,y,-z'
'x,-y,z'
'x+1/2,y+1/2,z'
'-x+1/2,-y+1/2,-z'
'-x+1/2,y+1/2,-z'
'x+1/2,-y+1/2,z'
loop_
_atom_site_label
_atom_site_type_symbol
_atom_site_fract_x
_atom_site_fract_y
_atom_site_fract_z
Dy1 Dy 0.228 0.000 0.216
Ta1 Ta 0.000 0.500 0.500
S1 S 0.111 0.500 0.914
S2 S 0.125 0.000 0.482
```

2.
Compound: Tl2Ag4Pb
Source: Alexandria
Functional: PBE
Structure: relaxed

Summary:
Calculated volume (Å³/atom): 31.09
Crystal system: tetragonal
Energy of formation from the pure elements (meV/atom): 417

CIF file:
```
data_Tl2Ag4Pb
_cell_length_a 5.514
_cell_length_b 5.514
_cell_length_c 14.314
_cell_angle_alpha 90.00
_cell_angle_beta 90.00
_cell_angle_gamma 90.00
_symmetry_space_group_name_H-M 'I 4/m m m'
_symmetry_Int_Tables_number 139
_symmetry_space_group_name_Hall '-I 4 2'
loop_
_atom_site_label
_atom_site_type_symbol
_atom_site_fract_x
_atom_site_fract_y
_atom_site_fract_z
Tl1 Tl 0.000 0.000 0.112
Ag1 Ag 0.000 0.000 0.305
Ag2 Ag 0.000 0.500 0.000
Pb1 Pb 0.000 0.000 0.500
```